# Li3WBr2F6 | Alexandria via LeMat-Bulk | GGA+U | relaxed
data_Li3WBr2F6
_chemical_formula_sum 'Li6 W2 Br4 F12'
_space_group_name_H-M_alt 'C 1 2/m 1'
_space_group_IT_number 12
_cell_length_a 13.7492
_cell_length_b 6.2288
_cell_length_c 5.1005
_cell_angle_alpha 90.00
_cell_angle_beta 92.08
_cell_angle_gamma 90.00
loop_
_space_group_symop_operation_xyz
'x,y,z'
'-x,-y,-z'
'-x,y,-z'
'x,-y,z'
'x+1/2,y+1/2,z'
'-x+1/2,-y+1/2,-z'
'-x+1/2,y+1/2,-z'
'x+1/2,-y+1/2,z'
loop_
_atom_site_label
_atom_site_fract_x
_atom_site_fract_y
_atom_site_fract_z
Li1 0.0000 0.0000 0.0000
Li2 0.2500 0.2500 0.5000
W1 0.0000 0.5000 0.5000
Br1 0.1806 0.0000 0.1690
F1 0.0308 0.2727 0.7458
F2 0.1396 0.5000 0.4163
# - Total DFT energy (no corrections): -4.61 eV/atom
# - Size of the total moment: 1.002 μB/f.u.